# SbBr2F8 PBE-GGA relaxed
data_SbBr2F8
_chemical_formula_sum 'Sb2 Br4 F16'
_space_group_name_H-M_alt 'C 1 2/m 1'
_space_group_IT_number 12
_cell_length_a 12.562
_cell_length_b 6.043
_cell_length_c 5.522
_cell_angle_alpha 90.00
_cell_angle_beta 99.15
_cell_angle_gamma 90.00
loop_
_space_group_symop_operation_xyz
'x,y,z'
'-x,-y,-z'
'-x,y,-z'
'x,-y,z'
'x+1/2,y+1/2,z'
'-x+1/2,-y+1/2,-z'
'-x+1/2,y+1/2,-z'
'x+1/2,-y+1/2,z'
loop_
_atom_site_label
_atom_site_type_symbol
_atom_site_fract_x
_atom_site_fract_y
_atom_site_fract_z
Sb1 Sb 0.000 0.000 0.000
Br1 Br 0.241 0.500 0.518
F1 F 0.082 0.000 0.338
F2 F 0.094 0.220 0.909
F3 F 0.100 0.500 0.397
# E_form (uncorrected) = -17.1 eV per formula unit



# NiSn2Se2 PBE-GGA relaxed
data_NiSn2Se2
_chemical_formula_sum 'Ni2 Sn4 Se4'
_space_group_name_H-M_alt 'I 4/m m m'
_space_group_IT_number 139
_space_group_name_Hall '-I 4 2'
_cell_length_a 5.618
_cell_length_b 5.618
_cell_length_c 8.000
_cell_angle_alpha 90.00
_cell_angle_beta 90.00
_cell_angle_gamma 90.00
loop_
_atom_site_label
_atom_site_type_symbol
_atom_site_fract_x
_atom_site_fract_y
_atom_site_fract_z
Ni1 Ni 0.000 0.000 0.000
Sn1 Sn 0.000 0.000 0.318
Se1 Se 0.000 0.500 0.250
# E_form (uncorrected) = 1.1 eV per formula unit



# WAuCl PBE-GGA relaxed
data_WAuCl
_chemical_formula_sum 'W2 Au2 Cl2'
_space_group_name_H-M_alt 'I 4 m m'
_space_group_IT_number 107
_space_group_name_Hall 'I 4 -2'
_cell_length_a 2.961
_cell_length_b 2.961
_cell_length_c 13.660
_cell_angle_alpha 90.00
_cell_angle_beta 90.00
_cell_angle_gamma 90.00
loop_
_atom_site_label
_atom_site_type_symbol
_atom_site_fract_x
_atom_site_fract_y
_atom_site_fract_z
W1 W 0.000 0.000 0.000
Au1 Au 0.000 0.000 0.369
Cl1 Cl 0.000 0.000 0.618
# ΔE to the lowest computed polymorph = 205 meV per atom
# E_form (uncorrected) = 1.4 eV per formula unit



# LaPr2AlN PBE-GGA relaxed
data_LaPr2AlN
_chemical_formula_sum 'La1 Pr2 Al1 N1'
_space_group_name_H-M_alt 'P 4/m m m'
_space_group_IT_number 123
_space_group_name_Hall '-P 4 2'
_cell_length_a 5.072
_cell_length_b 5.072
_cell_length_c 5.042
_cell_angle_alpha 90.00
_cell_angle_beta 90.00
_cell_angle_gamma 90.00
loop_
_atom_site_label
_atom_site_type_symbol
_atom_site_fract_x
_atom_site_fract_y
_atom_site_fract_z
La1 La 0.000 0.000 0.000
Pr1 Pr 0.000 0.500 0.500
Al1 Al 0.500 0.500 0.000
N1 N 0.000 0.000 0.500
# E_form (uncorrected) = -3.6 eV per formula unit



# Pm7Nd2Y2 PBE-GGA relaxed
data_Pm7Nd2Y2
_chemical_formula_sum 'Pm14 Nd4 Y4'
_space_group_name_H-M_alt 'C 1 2/m 1'
_space_group_IT_number 12
_cell_length_a 8.581
_cell_length_b 11.073
_cell_length_c 8.339
_cell_angle_alpha 90.00
_cell_angle_beta 106.01
_cell_angle_gamma 90.00
loop_
_space_group_symop_operation_xyz
'x,y,z'
'-x,-y,-z'
'-x,y,-z'
'x,-y,z'
'x+1/2,y+1/2,z'
'-x+1/2,-y+1/2,-z'
'-x+1/2,y+1/2,-z'
'x+1/2,-y+1/2,z'
loop_
_atom_site_label
_atom_site_type_symbol
_atom_site_fract_x
_atom_site_fract_y
_atom_site_fract_z
Pm1 Pm 0.000 0.000 0.000
Pm2 Pm 0.076 0.500 0.818
Pm3 Pm 0.199 0.295 0.167
Nd1 Nd 0.000 0.283 0.500
Y1 Y 0.192 0.000 0.470
# energy of formation = 13 kJ per mole of atoms
# ΔE to the lowest computed polymorph = 0 meV per atom



# ZnHgTeN2 PBE-GGA relaxed
data_ZnHgTeN2
_chemical_formula_sum 'Zn1 Hg1 Te1 N2'
_space_group_name_H-M_alt 'P 4/m m m'
_space_group_IT_number 123
_space_group_name_Hall '-P 4 2'
_cell_length_a 4.243
_cell_length_b 4.243
_cell_length_c 6.542
_cell_angle_alpha 90.00
_cell_angle_beta 90.00
_cell_angle_gamma 90.00
loop_
_atom_site_label
_atom_site_type_symbol
_atom_site_fract_x
_atom_site_fract_y
_atom_site_fract_z
Zn1 Zn 0.000 0.000 0.000
Hg1 Hg 0.500 0.500 0.500
Te1 Te 0.500 0.500 0.000
N1 N 0.000 0.500 0.500
# ΔE to the lowest computed polymorph = 360 meV per atom
# E_form (uncorrected) = 8.8 eV per formula unit



# Ba3Re2 PBE-GGA relaxed
data_Ba3Re2
_chemical_formula_sum 'Ba9 Re6'
_space_group_name_H-M_alt 'R -3 m'
_space_group_IT_number 166
_space_group_name_Hall '-R 3 2"'
_cell_length_a 4.1841
_cell_length_b 4.1841
_cell_length_c 37.8248
_cell_angle_alpha 90.00
_cell_angle_beta 90.00
_cell_angle_gamma 120.00
loop_
_atom_site_label
_atom_site_type_symbol
_atom_site_fract_x
_atom_site_fract_y
_atom_site_fract_z
Ba1 Ba 0.0000 0.0000 0.0000
Ba2 Ba 0.0000 0.0000 0.2202
Re1 Re 0.0000 0.0000 0.3936
# energy of formation = 162 kJ per mole of atoms
# ΔE to the lowest computed polymorph = 537 meV per atom



# RbMgTe PBE-GGA relaxed
data_RbMgTe
_chemical_formula_sum 'Rb2 Mg2 Te2'
_space_group_name_H-M_alt 'P 4/n m m'
_space_group_IT_number 129
_cell_length_a 5.505
_cell_length_b 5.505
_cell_length_c 7.857
_cell_angle_alpha 90.00
_cell_angle_beta 90.00
_cell_angle_gamma 90.00
loop_
_space_group_symop_operation_xyz
'x,y,z'
'-x,-y,-z'
'-y+1/2,x,z'
'y+1/2,-x,-z'
'-x+1/2,-y+1/2,z'
'x+1/2,y+1/2,-z'
'y,-x+1/2,z'
'-y,x+1/2,-z'
'x+1/2,-y,-z'
'-x+1/2,y,z'
'-y,-x,-z'
'y,x,z'
'-x,y+1/2,-z'
'x,-y+1/2,z'
'y+1/2,x+1/2,-z'
'-y+1/2,-x+1/2,z'
loop_
_atom_site_label
_atom_site_type_symbol
_atom_site_fract_x
_atom_site_fract_y
_atom_site_fract_z
Rb1 Rb 0.250 0.250 0.154
Mg1 Mg 0.250 0.750 0.500
Te1 Te 0.250 0.250 0.667
# E_form (uncorrected) = -1.6 eV per formula unit



# PmZnCo PBE-GGA relaxed
data_PmZnCo
_chemical_formula_sum 'Pm4 Zn4 Co4'
_space_group_name_H-M_alt 'C 1 2/c 1'
_space_group_IT_number 15
_cell_length_a 5.924
_cell_length_b 8.006
_cell_length_c 5.237
_cell_angle_alpha 90.00
_cell_angle_beta 116.29
_cell_angle_gamma 90.00
loop_
_space_group_symop_operation_xyz
'x,y,z'
'-x,-y,-z'
'-x,y,-z+1/2'
'x,-y,z+1/2'
'x+1/2,y+1/2,z'
'-x+1/2,-y+1/2,-z'
'-x+1/2,y+1/2,-z+1/2'
'x+1/2,-y+1/2,z+1/2'
loop_
_atom_site_label
_atom_site_type_symbol
_atom_site_fract_x
_atom_site_fract_y
_atom_site_fract_z
Pm1 Pm 0.000 0.122 0.250
Zn1 Zn 0.000 0.495 0.750
Co1 Co 0.250 0.250 0.000
# energy of formation = -4 kJ per mole of atoms
# ΔE to the lowest computed polymorph = 175 meV per atom



# NbPdAu2 PBE-GGA relaxed
data_NbPdAu2
_chemical_formula_sum 'Nb3 Pd3 Au6'
_space_group_name_H-M_alt 'R 3 m'
_space_group_IT_number 160
_space_group_name_Hall 'R 3 -2"'
_cell_length_a 2.9414
_cell_length_b 2.9414
_cell_length_c 27.8027
_cell_angle_alpha 90.00
_cell_angle_beta 90.00
_cell_angle_gamma 120.00
loop_
_atom_site_label
_atom_site_type_symbol
_atom_site_fract_x
_atom_site_fract_y
_atom_site_fract_z
Nb1 Nb 0.0000 0.0000 0.0000
Pd1 Pd 0.0000 0.0000 0.1667
Au1 Au 0.0000 0.0000 0.5830
Au2 Au 0.0000 0.0000 0.7503
# energy of formation = -6 kJ per mole of atoms
# ΔE to the lowest computed polymorph = 79 meV per atom



# LaPr4Eu PBE-GGA relaxed
data_LaPr4Eu
_chemical_formula_sum 'La4 Pr16 Eu4'
_space_group_name_H-M_alt 'F -4 3 m'
_space_group_IT_number 216
_space_group_name_Hall 'F -4 2 3'
_cell_length_a 9.777
_cell_length_b 9.777
_cell_length_c 9.777
_cell_angle_alpha 90.00
_cell_angle_beta 90.00
_cell_angle_gamma 90.00
loop_
_atom_site_label
_atom_site_type_symbol
_atom_site_fract_x
_atom_site_fract_y
_atom_site_fract_z
La1 La 0.000 0.000 0.000
Pr1 Pr 0.127 0.127 0.373
Eu1 Eu 0.250 0.250 0.750
# energy of formation = 20 kJ per mole of atoms



# MoPNCl2 PBE-GGA relaxed
data_MoPNCl2
_chemical_formula_sum 'Mo1 P1 N1 Cl2'
_space_group_name_H-M_alt 'P 4/m m m'
_space_group_IT_number 123
_space_group_name_Hall '-P 4 2'
_cell_length_a 4.164
_cell_length_b 4.164
_cell_length_c 4.607
_cell_angle_alpha 90.00
_cell_angle_beta 90.00
_cell_angle_gamma 90.00
loop_
_atom_site_label
_atom_site_type_symbol
_atom_site_fract_x
_atom_site_fract_y
_atom_site_fract_z
Mo1 Mo 0.000 0.000 0.000
P1 P 0.500 0.500 0.000
N1 N 0.500 0.500 0.500
Cl1 Cl 0.000 0.500 0.500
# ΔE to the lowest computed polymorph = 379 meV per atom
# E_form (uncorrected) = 6.8 eV per formula unit